# 1
Entry from Alexandria: a geometry-optimized ScSnWBr2 structure (PBE-GGA).

abc: 5.031 5.031 5.813
angles: 90.00 90.00 90.00
Space group P4/mmm (No. 123)
Asymmetric unit:
Sc  0.000  0.000  0.000 x1
Sn  0.500  0.500  0.500 x1
W  0.000  0.000  0.500 x1
Br  0.000  0.500  0.000 x2

Raw formation energy in meV per atom: 613.2

# 2
Entry from Alexandria: a geometry-optimized YPaSn6 structure (PBE-GGA).

abc: 4.669 4.669 9.392
angles: 90.00 90.00 90.00
Space group P4/mmm (No. 123)
Asymmetric unit:
Y  0.000  0.000  0.000 x1
Pa  0.000  0.000  0.500 x1
Sn  0.000  0.500  0.252 x4
Sn  0.500  0.500  0.000 x1
Sn  0.500  0.500  0.500 x1

Energy relative to the elements in eV/f.u.: -2.81

# 3
Entry from Alexandria: a geometry-optimized Rb2MgZnI6 structure (PBE-GGA).

abc: 8.243 8.243 11.669
angles: 90.00 90.00 90.00
Space group I4/mmm (No. 139)
Asymmetric unit:
Rb  0.000  0.500  0.250 x4
Mg  0.000  0.000  0.000 x2
Zn  0.000  0.000  0.500 x2
I  0.000  0.000  0.252 x4
I  0.247  0.247  0.500 x8

Excess energy over the best structure of this formula in the dataset in meV/atom: 62
Raw formation energy in meV per atom: -971.4

# 4
Entry from Alexandria: a geometry-optimized LiNi2HPt structure (PBE-GGA).

abc: 3.596 3.596 3.879
angles: 90.00 90.00 90.00
Space group P4/mmm (No. 123)
Asymmetric unit:
Li  0.000  0.000  0.000 x1
Ni  0.000  0.500  0.500 x2
H  0.000  0.000  0.500 x1
Pt  0.500  0.500  0.000 x1

Excess energy over the best structure of this formula in the dataset in meV/atom: 0

# 5
Entry from Alexandria: a geometry-optimized BeIr2O2 structure (PBE-GGA).

abc: 6.043 6.043 3.723
angles: 90.00 90.00 90.00
Space group P4/mbm (No. 127)
Asymmetric unit:
Be  0.000  0.000  0.000 x2
Ir  0.155  0.345  0.000 x4
O  0.162  0.338  0.500 x4

Excess energy over the best structure of this formula in the dataset in meV/atom: 0
Raw formation energy in meV per atom: -244.7

# 6
Entry from Alexandria: a geometry-optimized KRhSe2 structure (PBE-GGA).

abc: 3.208 3.208 9.608
angles: 90.00 90.00 90.00
Space group P4mm (No. 99)
Asymmetric unit:
K  0.000  0.000  0.000 x1
Rh  0.500  0.500  0.286 x1
Se  0.000  0.000  0.389 x1
Se  0.500  0.500  0.753 x1

Raw formation energy in meV per atom: -191.5

no.,density of states at the Fermi level (states/eV per atom)
1,0.435
2,0.798
3,0.066
4,0.702
5,0.617
6,0.376